Entry 1:
Below is GaB2Te at its PBEsol-relaxed geometry, with properties calculated at the meta-GGA SCAN level.

```
GaB2Te
1.0
-2.533 2.533 5.012
2.533 -2.533 5.012
2.533 2.533 -5.012
Ga B Te
2 4 2
Direct
0.000 0.000 0.000
0.750 0.250 0.500
0.105 0.625 0.980
0.375 0.355 0.480
0.645 0.125 0.020
0.875 0.895 0.520
0.250 0.750 0.500
0.500 0.500 0.000
```

* D(E_F): 3.5 states/eV/cell
* formation energy (no corrections): 0.61 eV/atom
* electronic total energy: -132.05 eV for the cell shown

***

Entry 2:
Below is Ti2GaB at its PBEsol-relaxed geometry, with properties calculated at the meta-GGA SCAN level.

```
Ti2GaB
1.0
0.000 2.959 2.959
2.959 0.000 2.959
2.959 2.959 0.000
Ti Ga B
2 1 1
Direct
0.250 0.250 0.250
0.750 0.750 0.750
0.000 0.000 0.000
0.500 0.500 0.500
```

* formation enthalpy at 0 K: -12 meV per atom
* D(E_F): 4.7 states/eV/cell
* electronic total energy: -55.89 eV for the cell shown

***

Entry 3:
Below is YTiGa2B at its PBEsol-relaxed geometry, with properties calculated at the meta-GGA SCAN level.

```
YTiGa2B
1.0
4.818 0.000 0.000
0.000 4.818 0.000
0.000 0.000 4.903
Y Ti Ga B
1 1 2 1
Direct
0.000 0.000 0.000
0.000 0.000 0.500
0.000 0.500 0.500
0.500 0.000 0.500
0.500 0.500 0.000
```

* formation enthalpy at 0 K: 1236 meV per atom
* D(E_F): 4.1 states/eV/cell
* electronic total energy: -77.82 eV for the cell shown

***

Entry 4:
Below is TlGa3B at its PBEsol-relaxed geometry, with properties calculated at the meta-GGA SCAN level.

```
TlGa3B
1.0
5.237 0.000 0.000
0.000 5.237 0.000
0.000 0.000 5.237
Tl Ga B
1 3 1
Direct
0.000 0.000 0.000
0.000 0.000 0.500
0.000 0.500 0.000
0.500 0.000 0.000
0.500 0.500 0.500
```

* formation enthalpy at 0 K: 1639 meV per atom
* D(E_F): 4.4 states/eV/cell
* electronic total energy: -120.63 eV for the cell shown

***

Entry 5:
Below is GaBW2 at its PBEsol-relaxed geometry, with properties calculated at the meta-GGA SCAN level.

```
GaBW2
1.0
0.000 2.949 2.949
2.949 0.000 2.949
2.949 2.949 0.000
Ga B W
1 1 2
Direct
0.000 0.000 0.000
0.500 0.500 0.500
0.250 0.250 0.250
0.750 0.750 0.750
```

* formation enthalpy at 0 K: 749 meV per atom
* D(E_F): 2.3 states/eV/cell
* electronic total energy: -160.16 eV for the cell shown

***

Entry 6:
Below is Gd2B5 at its PBEsol-relaxed geometry, with properties calculated at the meta-GGA SCAN level.

```
Gd2B5
1.0
7.098 0.000 0.000
0.000 7.093 0.000
-1.566 0.000 6.944
Gd B
8 20
Direct
0.234 0.193 0.129
0.234 0.307 0.629
0.242 0.685 0.255
0.242 0.815 0.755
0.758 0.185 0.245
0.758 0.315 0.745
0.766 0.693 0.371
0.766 0.807 0.871
0.075 0.509 0.926
0.075 0.991 0.426
0.315 0.502 0.960
0.315 0.998 0.460
0.497 0.174 0.460
0.497 0.326 0.960
0.497 0.539 0.826
0.497 0.961 0.326
0.499 0.589 0.589
0.499 0.911 0.089
0.501 0.089 0.911
0.501 0.411 0.411
0.503 0.039 0.674
0.503 0.461 0.174
0.503 0.674 0.040
0.503 0.826 0.540
0.685 0.002 0.540
0.685 0.498 0.040
0.925 0.009 0.574
0.925 0.491 0.074
```

* formation enthalpy at 0 K: -597 meV per atom
* D(E_F): 5.5 states/eV/cell
* electronic total energy: -635.84 eV for the cell shown

***

Entry 7:
Below is LaGdB12 at its PBEsol-relaxed geometry, with properties calculated at the meta-GGA SCAN level.

```
LaGdB12
1.0
4.111 0.000 0.000
0.000 4.111 0.000
0.000 0.000 8.216
La Gd B
1 1 12
Direct
0.000 0.000 0.000
0.000 0.000 0.500
0.199 0.500 0.252
0.199 0.500 0.748
0.500 0.199 0.252
0.500 0.199 0.748
0.500 0.500 0.100
0.500 0.500 0.401
0.500 0.500 0.599
0.500 0.500 0.900
0.500 0.801 0.252
0.500 0.801 0.748
0.801 0.500 0.252
0.801 0.500 0.748
```

* formation enthalpy at 0 K: -557 meV per atom
* D(E_F): 1.8 states/eV/cell
* electronic total energy: -198.88 eV for the cell shown

***

Entry 8:
Below is Li3GdB2O6 at its PBEsol-relaxed geometry, with properties calculated at the meta-GGA SCAN level.

```
Li3GdB2O6
1.0
8.707 0.000 0.000
0.000 6.382 0.000
-4.561 0.000 8.961
Li Gd B O
12 4 8 24
Direct
0.104 0.244 0.478
0.104 0.256 0.978
0.206 0.560 0.167
0.206 0.940 0.667
0.335 0.721 0.541
0.335 0.779 0.041
0.665 0.221 0.959
0.665 0.279 0.459
0.794 0.060 0.333
0.794 0.440 0.833
0.896 0.744 0.022
0.896 0.756 0.522
0.318 0.026 0.300
0.318 0.474 0.800
0.682 0.526 0.200
0.682 0.974 0.700
0.041 0.663 0.823
0.041 0.837 0.323
0.447 0.171 0.107
0.447 0.329 0.607
0.553 0.671 0.393
0.553 0.829 0.893
0.959 0.163 0.677
0.959 0.337 0.177
0.091 0.711 0.713
0.091 0.789 0.213
0.119 0.211 0.689
0.119 0.289 0.189
0.164 0.558 0.948
0.164 0.942 0.448
0.295 0.063 0.060
0.295 0.437 0.560
0.440 0.680 0.241
0.440 0.820 0.741
0.490 0.215 0.512
0.490 0.285 0.012
0.510 0.715 0.988
0.510 0.785 0.488
0.560 0.180 0.259
0.560 0.320 0.759
0.705 0.563 0.440
0.705 0.937 0.940
0.836 0.058 0.552
0.836 0.442 0.052
0.881 0.711 0.811
0.881 0.789 0.311
0.909 0.211 0.787
0.909 0.289 0.287
```

* D(E_F): 0.0 states/eV/cell
* formation energy (no corrections): -2.83 eV/atom
* electronic total energy: -608.61 eV for the cell shown

***

Entry 9:
Below is GdMnB4 at its PBEsol-relaxed geometry, with properties calculated at the meta-GGA SCAN level.

```
GdMnB4
1.0
5.900 0.000 0.000
0.000 11.412 0.000
0.000 0.000 3.377
Gd Mn B
4 4 16
Direct
0.125 0.151 0.000
0.375 0.651 0.000
0.625 0.349 0.000
0.875 0.849 0.000
0.126 0.417 0.000
0.374 0.917 0.000
0.626 0.083 0.000
0.874 0.583 0.000
0.025 0.690 0.500
0.112 0.546 0.500
0.139 0.967 0.500
0.221 0.817 0.500
0.279 0.317 0.500
0.361 0.467 0.500
0.388 0.046 0.500
0.475 0.190 0.500
0.525 0.810 0.500
0.612 0.954 0.500
0.639 0.533 0.500
0.721 0.683 0.500
0.779 0.183 0.500
0.861 0.033 0.500
0.888 0.454 0.500
0.975 0.310 0.500
```

* formation enthalpy at 0 K: -631 meV per atom
* D(E_F): 3.1 states/eV/cell
* electronic total energy: -442.31 eV for the cell shown

***

Entry 10:
Below is GdNi4B at its PBEsol-relaxed geometry, with properties calculated at the meta-GGA SCAN level.

```
GdNi4B
1.0
4.918 0.000 0.000
-2.459 4.259 0.000
0.000 0.000 6.890
Gd Ni B
2 8 2
Direct
0.000 0.000 0.000
0.000 0.000 0.500
0.000 0.500 0.209
0.000 0.500 0.791
0.333 0.667 0.500
0.500 0.000 0.209
0.500 0.000 0.791
0.500 0.500 0.209
0.500 0.500 0.791
0.667 0.333 0.500
0.333 0.667 0.000
0.667 0.333 0.000
```

* formation enthalpy at 0 K: -441 meV per atom
* D(E_F): 3.5 states/eV/cell
* electronic total energy: -267.17 eV for the cell shown

***

Entry 11:
Below is GdB2Os2 at its PBEsol-relaxed geometry, with properties calculated at the meta-GGA SCAN level.

```
GdB2Os2
1.0
0.000 4.451 4.890
3.332 0.000 4.890
3.332 4.451 0.000
Gd B Os
2 4 4
Direct
0.125 0.125 0.125
0.875 0.875 0.875
0.185 0.565 0.185
0.435 0.815 0.435
0.565 0.185 0.565
0.815 0.435 0.815
0.237 0.237 0.513
0.487 0.487 0.763
0.513 0.513 0.237
0.763 0.763 0.487
```

* formation enthalpy at 0 K: -514 meV per atom
* D(E_F): 3.4 states/eV/cell
* electronic total energy: -440.01 eV for the cell shown

***

Entry 12:
Below is Ge3B at its PBEsol-relaxed geometry, with properties calculated at the meta-GGA SCAN level.

```
Ge3B
1.0
0.000 3.124 3.124
3.124 0.000 3.124
3.124 3.124 0.000
Ge B
3 1
Direct
0.000 0.000 0.000
0.250 0.250 0.250
0.750 0.750 0.750
0.500 0.500 0.500
```

* formation enthalpy at 0 K: 1071 meV per atom
* D(E_F): 1.9 states/eV/cell
* electronic total energy: -60.41 eV for the cell shown